Record 1
# KSrLaPb2 | Alexandria | PBE-GGA | optimized geometry
data_KSrLaPb2
_symmetry_space_group_name_H-M 'P 4/m m m'
_symmetry_Int_Tables_number 123
_symmetry_space_group_name_Hall '-P 4 2'
_cell_length_a 6.219
_cell_length_b 6.219
_cell_length_c 5.990
_cell_angle_alpha 90.00
_cell_angle_beta 90.00
_cell_angle_gamma 90.00
loop_
_atom_site_label
_atom_site_type_symbol
_atom_site_fract_x
_atom_site_fract_y
_atom_site_fract_z
_atom_site_occupancy
K1 K 0.000 0.000 0.000 1
Sr1 Sr 0.500 0.500 0.500 1
La1 La 0.500 0.500 0.000 1
Pb1 Pb 0.000 0.500 0.500 1
# Calculated formation energy (eV/atom): 0.46
# VASP energy (eV per atom): -2.568
# Fermi-level density of states (states/eV per atom): 0.8391



Record 2
# K2LaTcPb | Alexandria | PBE-GGA | optimized geometry
data_K2LaTcPb
_symmetry_space_group_name_H-M 'P 4/m m m'
_symmetry_Int_Tables_number 123
_symmetry_space_group_name_Hall '-P 4 2'
_cell_length_a 6.435
_cell_length_b 6.435
_cell_length_c 6.230
_cell_angle_alpha 90.00
_cell_angle_beta 90.00
_cell_angle_gamma 90.00
loop_
_atom_site_label
_atom_site_type_symbol
_atom_site_fract_x
_atom_site_fract_y
_atom_site_fract_z
_atom_site_occupancy
K1 K 0.000 0.500 0.000 1
La1 La 0.000 0.000 0.500 1
Tc1 Tc 0.500 0.500 0.500 1
Pb1 Pb 0.000 0.000 0.000 1
# Calculated formation energy (eV/atom): 1.19
# VASP energy (eV per atom): -3.044
# Fermi-level density of states (states/eV per atom): 1.1163



Record 3
# KLa2Te6Pb3 | Alexandria | PBE-GGA | optimized geometry
data_KLa2Te6Pb3
_symmetry_space_group_name_H-M 'C 1 2/m 1'
_symmetry_Int_Tables_number 12
_symmetry_space_group_name_Hall '-C 2y'
_cell_length_a 20.383
_cell_length_b 4.651
_cell_length_c 9.462
_cell_angle_alpha 90.00
_cell_angle_beta 103.62
_cell_angle_gamma 90.00
loop_
_atom_site_label
_atom_site_type_symbol
_atom_site_fract_x
_atom_site_fract_y
_atom_site_fract_z
_atom_site_occupancy
K1 K 0.000 0.000 0.000 1
La1 La 0.167 0.500 0.338 1
Te1 Te 0.006 0.500 0.266 1
Te2 Te 0.168 0.000 0.586 1
Te3 Te 0.177 0.000 0.098 1
Pb1 Pb 0.000 0.000 0.500 1
Pb2 Pb 0.159 0.500 0.846 1
# VASP energy (eV per atom): -4.306
# Formation energy (no corrections) (meV per atom): -895.7
# Fermi-level density of states (states/eV per atom): 0.4757



Record 4
# KLaTlPb | Alexandria | PBE-GGA | optimized geometry
data_KLaTlPb
_symmetry_space_group_name_H-M 'F -4 3 m'
_symmetry_Int_Tables_number 216
_symmetry_space_group_name_Hall 'F -4 2 3'
_cell_length_a 8.133
_cell_length_b 8.133
_cell_length_c 8.133
_cell_angle_alpha 90.00
_cell_angle_beta 90.00
_cell_angle_gamma 90.00
loop_
_atom_site_label
_atom_site_type_symbol
_atom_site_fract_x
_atom_site_fract_y
_atom_site_fract_z
_atom_site_occupancy
K1 K 0.000 0.000 0.000 1
La1 La 0.000 0.000 0.500 1
Tl1 Tl 0.250 0.250 0.250 1
Pb1 Pb 0.250 0.250 0.750 1
# Calculated formation energy (eV/atom): -0.21
# VASP energy (eV per atom): -3.238
# Fermi-level density of states (states/eV per atom): 0.9101



Record 5
# KLa2Pd | Alexandria | PBE-GGA | optimized geometry
data_KLa2Pd
_symmetry_space_group_name_H-M 'I -4 2 d'
_symmetry_Int_Tables_number 122
_symmetry_space_group_name_Hall 'I -4 2bw'
_cell_length_a 8.994
_cell_length_b 8.994
_cell_length_c 7.266
_cell_angle_alpha 90.00
_cell_angle_beta 90.00
_cell_angle_gamma 90.00
loop_
_atom_site_label
_atom_site_type_symbol
_atom_site_fract_x
_atom_site_fract_y
_atom_site_fract_z
_atom_site_occupancy
K1 K 0.000 0.000 0.000 1
La1 La 0.172 0.750 0.625 1
Pd1 Pd 0.000 0.000 0.500 1
# Calculated formation energy (eV/atom): 0.04
# VASP energy (eV per atom): -3.992
# Fermi-level density of states (states/eV per atom): 1.5256



Record 6
# KLa2Pd | Alexandria | PBE-GGA | optimized geometry
data_KLa2Pd
_symmetry_space_group_name_H-M 'F m -3 m'
_symmetry_Int_Tables_number 225
_symmetry_space_group_name_Hall '-F 4 2 3'
_cell_length_a 7.787
_cell_length_b 7.787
_cell_length_c 7.787
_cell_angle_alpha 90.00
_cell_angle_beta 90.00
_cell_angle_gamma 90.00
loop_
_atom_site_label
_atom_site_type_symbol
_atom_site_fract_x
_atom_site_fract_y
_atom_site_fract_z
_atom_site_occupancy
K1 K 0.000 0.000 0.000 1
La1 La 0.250 0.250 0.250 1
Pd1 Pd 0.000 0.000 0.500 1
# Calculated formation energy (eV/atom): 0.16
# VASP energy (eV per atom): -3.876
# Fermi-level density of states (states/eV per atom): 1.3329



Record 7
# KLa3Pd | Alexandria | PBE-GGA | optimized geometry
data_KLa3Pd
_symmetry_space_group_name_H-M 'P m -3 m'
_symmetry_Int_Tables_number 221
_symmetry_space_group_name_Hall '-P 4 2 3'
_cell_length_a 5.467
_cell_length_b 5.467
_cell_length_c 5.467
_cell_angle_alpha 90.00
_cell_angle_beta 90.00
_cell_angle_gamma 90.00
loop_
_atom_site_label
_atom_site_type_symbol
_atom_site_fract_x
_atom_site_fract_y
_atom_site_fract_z
_atom_site_occupancy
K1 K 0.000 0.000 0.000 1
La1 La 0.000 0.000 0.500 1
Pd1 Pd 0.500 0.500 0.500 1
# Calculated formation energy (eV/atom): 1.13
# VASP energy (eV per atom): -3.082
# Fermi-level density of states (states/eV per atom): 0.9950



Record 8
# K2La2Pd | Alexandria | PBE-GGA | optimized geometry
data_K2La2Pd
_symmetry_space_group_name_H-M 'P 4/m b m'
_symmetry_Int_Tables_number 127
_symmetry_space_group_name_Hall '-P 4 2ab'
_cell_length_a 7.644
_cell_length_b 7.644
_cell_length_c 7.266
_cell_angle_alpha 90.00
_cell_angle_beta 90.00
_cell_angle_gamma 90.00
loop_
_atom_site_label
_atom_site_type_symbol
_atom_site_fract_x
_atom_site_fract_y
_atom_site_fract_z
_atom_site_occupancy
K1 K 0.188 0.312 0.000 1
La1 La 0.173 0.673 0.500 1
Pd1 Pd 0.000 0.000 0.500 1
# Calculated formation energy (eV/atom): 0.03
# VASP energy (eV per atom): -3.419
# Fermi-level density of states (states/eV per atom): 0.3695



Record 9
# KLaPd3 | Alexandria | PBE-GGA | optimized geometry
data_KLaPd3
_symmetry_space_group_name_H-M 'P m -3 m'
_symmetry_Int_Tables_number 221
_symmetry_space_group_name_Hall '-P 4 2 3'
_cell_length_a 5.058
_cell_length_b 5.058
_cell_length_c 5.058
_cell_angle_alpha 90.00
_cell_angle_beta 90.00
_cell_angle_gamma 90.00
loop_
_atom_site_label
_atom_site_type_symbol
_atom_site_fract_x
_atom_site_fract_y
_atom_site_fract_z
_atom_site_occupancy
K1 K 0.000 0.000 0.000 1
La1 La 0.500 0.500 0.500 1
Pd1 Pd 0.000 0.000 0.500 1
# Calculated formation energy (eV/atom): 0.62
# VASP energy (eV per atom): -3.701
# Fermi-level density of states (states/eV per atom): 2.2063



Record 10
# KLaPd10 | Alexandria | PBE-GGA | optimized geometry
data_KLaPd10
_symmetry_space_group_name_H-M 'P m m m'
_symmetry_Int_Tables_number 47
_symmetry_space_group_name_Hall '-P 2 2'
_cell_length_a 4.458
_cell_length_b 5.465
_cell_length_c 9.387
_cell_angle_alpha 90.00
_cell_angle_beta 90.00
_cell_angle_gamma 90.00
loop_
_atom_site_label
_atom_site_type_symbol
_atom_site_fract_x
_atom_site_fract_y
_atom_site_fract_z
_atom_site_occupancy
K1 K 0.000 0.000 0.000 1
La1 La 0.000 0.500 0.500 1
Pd1 Pd 0.000 0.000 0.339 1
Pd2 Pd 0.000 0.500 0.174 1
Pd3 Pd 0.500 0.000 0.500 1
Pd4 Pd 0.500 0.253 0.255 1
Pd5 Pd 0.500 0.500 0.000 1
# Calculated formation energy (eV/atom): -0.26
# VASP energy (eV per atom): -5.094
# Fermi-level density of states (states/eV per atom): 1.1231



Record 11
# KLaPd4 | Alexandria | PBE-GGA | optimized geometry
data_KLaPd4
_symmetry_space_group_name_H-M 'F -4 3 m'
_symmetry_Int_Tables_number 216
_symmetry_space_group_name_Hall 'F -4 2 3'
_cell_length_a 7.862
_cell_length_b 7.862
_cell_length_c 7.862
_cell_angle_alpha 90.00
_cell_angle_beta 90.00
_cell_angle_gamma 90.00
loop_
_atom_site_label
_atom_site_type_symbol
_atom_site_fract_x
_atom_site_fract_y
_atom_site_fract_z
_atom_site_occupancy
K1 K 0.000 0.000 0.000 1
La1 La 0.250 0.250 0.750 1
Pd1 Pd 0.125 0.125 0.375 1
# Calculated formation energy (eV/atom): -0.49
# VASP energy (eV per atom): -4.959
# Fermi-level density of states (states/eV per atom): 0.3979



Record 12
# KLa3Pd | Alexandria | PBE-GGA | optimized geometry
data_KLa3Pd
_symmetry_space_group_name_H-M 'P m -3 m'
_symmetry_Int_Tables_number 221
_symmetry_space_group_name_Hall '-P 4 2 3'
_cell_length_a 5.897
_cell_length_b 5.897
_cell_length_c 5.897
_cell_angle_alpha 90.00
_cell_angle_beta 90.00
_cell_angle_gamma 90.00
loop_
_atom_site_label
_atom_site_type_symbol
_atom_site_fract_x
_atom_site_fract_y
_atom_site_fract_z
_atom_site_occupancy
K1 K 0.000 0.000 0.000 1
La1 La 0.000 0.500 0.500 1
Pd1 Pd 0.500 0.500 0.500 1
# Calculated formation energy (eV/atom): -0.02
# VASP energy (eV per atom): -4.239
# Fermi-level density of states (states/eV per atom): 2.3972



Record 13
# K3LaPd | Alexandria | PBE-GGA | optimized geometry
data_K3LaPd
_symmetry_space_group_name_H-M 'P m -3 m'
_symmetry_Int_Tables_number 221
_symmetry_space_group_name_Hall '-P 4 2 3'
_cell_length_a 6.663
_cell_length_b 6.663
_cell_length_c 6.663
_cell_angle_alpha 90.00
_cell_angle_beta 90.00
_cell_angle_gamma 90.00
loop_
_atom_site_label
_atom_site_type_symbol
_atom_site_fract_x
_atom_site_fract_y
_atom_site_fract_z
_atom_site_occupancy
K1 K 0.000 0.000 0.500 1
La1 La 0.000 0.000 0.000 1
Pd1 Pd 0.500 0.500 0.500 1
# Calculated formation energy (eV/atom): 1.27
# VASP energy (eV per atom): -1.409
# Fermi-level density of states (states/eV per atom): 1.0336